A plane-wave DFT calculation with PBE was carried out for crystalline Cd2Br2O at its relaxed geometry.

Excess energy over the best structure of this formula in the dataset: 0.28 eV per formula unit
Total magnetic moment: 0.0 Bohr magnetons per cell
E_form (uncorrected): -3.804 eV per formula unit
Electronic total energy: -2.788 eV per atom

Cell lengths 3.4950, 12.6921, 11.9915 Å; angles 90.00, 90.00, 90.00 degrees
With the nearest neighbours (Å) after each atom.
Space group Cmc2_1 (No. 36)
Asymmetric unit:
Cd  0.0000  0.0174  0.0000 (multiplicity 4)  2 O 2.30
Cd  0.0000  0.2466  0.0534 (multiplicity 4)  2 O 2.30
Br  0.0000  0.1249  0.6771 (multiplicity 4)  3 Cd 2.79-2.81
Br  0.0000  0.3884  0.8774 (multiplicity 4)  3 Cd 2.77-2.81
O  0.0000  0.3680  0.5269 (multiplicity 4)  4 Cd 2.30